## YMgSbI2 (PBE-GGA)

Data for crystalline YMgSbI2 at its relaxed geometry.

Output
* energy above the lowest structure with this stoichiometry: 0.142 eV/atom
* E_form (uncorrected): -198 meV per atom
* total magnetization: 0.000 μB/cell

abc: 5.3868 5.3868 5.8999
angles: 90.00 90.00 90.00
With the nearest neighbours (Å) after each atom.
Atoms (fractional coordinates):
Y 0.0000 0.0000 0.0000  4 Sb 3.81, 8 I 3.99
Mg 0.5000 0.5000 0.5000  4 I 2.69, 2 Sb 2.95
Sb 0.5000 0.5000 0.0000  2 Mg 2.95
I 0.0000 0.5000 0.5000  2 Mg 2.69
I 0.5000 0.0000 0.5000  2 Mg 2.69